1.
Computed, not measured: crystalline Li3Cu2As3 at its relaxed geometry at the PBE level of DFT.

Computed properties:
As for the space group: Pnma (62). The value obtained for the formation energy is -0.32 eV/atom. For the total magnetization, the calculation gives 0.00 μB/atom.

Cell lengths 4.865, 7.718, 13.750 Å; angles 90.00, 90.00, 90.00 degrees
Positions (direct):
Li1 0.071 0.429 0.359
Li2 0.571 0.071 0.641
Li3 0.929 0.571 0.859
Li4 0.429 0.929 0.141
Li5 0.929 0.571 0.641
Li6 0.429 0.929 0.359
Li7 0.071 0.429 0.141
Li8 0.571 0.071 0.859
Li9 0.564 0.304 0.250
Li10 0.064 0.196 0.750
Li11 0.436 0.696 0.750
Li12 0.936 0.804 0.250
Cu1 0.938 0.052 0.412
Cu2 0.438 0.448 0.588
Cu3 0.062 0.948 0.912
Cu4 0.562 0.552 0.088
Cu5 0.062 0.948 0.588
Cu6 0.562 0.552 0.412
Cu7 0.938 0.052 0.088
Cu8 0.438 0.448 0.912
As1 0.066 0.143 0.250
As2 0.566 0.357 0.750
As3 0.934 0.857 0.750
As4 0.434 0.643 0.250
As5 0.525 0.243 0.451
As6 0.025 0.257 0.549
As7 0.475 0.757 0.951
As8 0.975 0.743 0.049
As9 0.475 0.757 0.549
As10 0.975 0.743 0.451
As11 0.525 0.243 0.049
As12 0.025 0.257 0.951



2.
Computed, not measured: crystalline MnReW2 at its relaxed geometry at the PBE level of DFT.

Computed properties:
Its relative energy among the computed polymorphs is 0.023 eV/atom. As for the space group: Cmmm (65). The value obtained for the formation energy is 0.11 eV/atom. For the total magnetization, the calculation gives 0.39 μB/atom.

Cell lengths 2.710, 2.710, 8.567 Å; angles 90.00, 90.00, 109.36 degrees
Positions (direct):
Mn1 0.500 0.500 0.250
Re1 0.500 0.500 0.750
W1 0.000 0.000 0.012
W2 0.000 0.000 0.488



3.
Computed, not measured: crystalline Pr5NdYHo2 at its relaxed geometry at the PBE level of DFT.

Computed properties:
As for the space group: Cmc2_1 (36). The value obtained for the formation energy is 0.15 eV/atom. For the total magnetization, the calculation gives 0.00 μB/atom.

Cell lengths 5.700, 10.735, 10.803 Å; angles 90.00, 90.00, 105.40 degrees
Positions (direct):
Pr1 0.389 0.778 0.025
Pr2 0.720 0.440 0.810
Pr3 0.481 0.962 0.744
Pr4 0.295 0.590 0.704
Pr5 0.985 0.970 0.520
Pr6 0.611 0.222 0.525
Pr7 0.280 0.560 0.310
Pr8 0.519 0.038 0.244
Pr9 0.705 0.410 0.204
Pr10 0.015 0.030 0.020
Nd1 0.799 0.597 0.510
Nd2 0.201 0.403 0.010
Y1 0.592 0.184 0.961
Y2 0.408 0.816 0.461
Ho1 0.884 0.768 0.812
Ho2 0.111 0.223 0.739
Ho3 0.116 0.232 0.312
Ho4 0.889 0.777 0.239